Here is a relaxed structure of LiTl2F from Alexandria. Energies are from GGA-PBEsol.

Calculated values
D(E_F) (states/eV/f.u.): 1.910
M_tot (μB/cell): 0.00
Electronic total energy (eV/atom): -2.923
Crystal system: cubic

Structure (POSCAR):
```
LiTl2F
1.0
-2.358 -2.329 3.517
1.677 -4.221 1.649
1.920 -0.274 4.426
Tl Li F
2 1 1
Cartesian
0.310 -1.706 2.398 Tl
0.930 -5.118 7.193 Tl
0.000 0.000 0.000 Li
0.620 -3.412 4.795 F
```